[1]
## Ca3ErCd4 (PBE-GGA)

Data for crystalline Ca3ErCd4 at its relaxed geometry.

a b c (Å): 3.796 3.796 15.239
angles (deg): 90.00 90.00 90.00
Fractional coordinates of all 8 atoms:
1 Ca 0.000 0.000 0.000
2 Ca 0.000 0.000 0.254
3 Ca 0.000 0.000 0.746
4 Er 0.000 0.000 0.500
5 Cd 0.500 0.500 0.127
6 Cd 0.500 0.500 0.384
7 Cd 0.500 0.500 0.616
8 Cd 0.500 0.500 0.873

***

[2]
## Ca3Er2Cd3 (PBE-GGA)

Data for crystalline Ca3Er2Cd3 at its relaxed geometry.

a b c (Å): 11.793 11.793 11.793
angles (deg): 161.70 153.09 32.74
Fractional coordinates of all 8 atoms:
1 Ca 0.000 0.000 0.000
2 Ca 0.378 0.878 0.500
3 Ca 0.622 0.122 0.500
4 Er 0.233 0.233 0.000
5 Er 0.767 0.767 0.000
6 Cd 0.121 0.621 0.500
7 Cd 0.500 0.500 0.000
8 Cd 0.879 0.379 0.500

***

[3]
## CaErCd4 (PBE-GGA)

Data for crystalline CaErCd4 at its relaxed geometry.

a b c (Å): 3.498 8.648 4.966
angles (deg): 90.00 90.18 90.00
Fractional coordinates of all 6 atoms:
1 Ca 0.000 0.000 0.000
2 Er 0.000 0.500 0.500
3 Cd 0.500 0.169 0.500
4 Cd 0.500 0.336 0.000
5 Cd 0.500 0.664 0.000
6 Cd 0.500 0.831 0.500

***

no.,calculated formation energy (meV per atom),D(E_F) (states/eV per cell),M_tot (μB per atom)
1,-346,6.4,0.000
2,-238,8.1,0.000
3,-314,3.2,0.000